Entry 1:
Compound: Mn4SiW
Source: Alexandria
Functional: PBE
Structure: relaxed

Cell and atoms, written as extended XYZ:
```
6
Lattice="2.437 -3.977 -0.034 -0.213 -2.897 3.649 -2.212 -4.087 -0.394" Properties=species:S:1:pos:R:3 pbc="T T T"
Mn -1.086 -6.145 1.019
Mn 0.004 -4.129 1.213
Mn -0.101 -5.558 3.013
W 0.000 0.000 0.000
Si 0.009 -8.221 2.416
Mn 1.206 -6.090 1.196
```

M_tot = 1.03 μB per formula unit
space group = F-43m
E_form (uncorrected) = 0.03 eV per atom
DOS(E_F) = 1.276 states/eV/atom

---

Entry 2:
Compound: MnSi2W
Source: Alexandria
Functional: PBE
Structure: relaxed

Cell and atoms, written as extended XYZ:
```
4
Lattice="-1.719 -0.712 3.404 -0.601 -2.545 -0.836 4.345 -1.805 1.817" Properties=species:S:1:pos:R:3 pbc="T T T"
Si 1.738 -2.723 0.308
W 0.076 -1.444 1.947
Si -0.466 -1.998 -0.654
Mn 1.948 -3.619 2.438
```

M_tot = 1.50 μB per formula unit
space group = P2/m
E_form (uncorrected) = -0.05 eV per atom
DOS(E_F) = 0.680 states/eV/atom

---

Entry 3:
Compound: MnSiW2
Source: Alexandria
Functional: PBE
Structure: relaxed

Cell and atoms, written as extended XYZ:
```
4
Lattice="2.784 0.000 0.000 0.000 3.970 0.000 0.000 0.000 5.139" Properties=species:S:1:pos:R:3 pbc="T T T"
W 1.392 1.985 1.326
W 0.000 0.000 5.045
Mn 0.000 0.000 2.671
Si 1.392 1.985 3.806
```

M_tot = 0.00 μB per formula unit
space group = Pmm2
E_form (uncorrected) = 0.13 eV per atom
DOS(E_F) = 0.633 states/eV/atom

---

Entry 4:
Compound: MnSiW2
Source: Alexandria
Functional: PBE
Structure: relaxed

Cell and atoms, written as extended XYZ:
```
4
Lattice="-1.294 -1.328 2.012 2.542 0.460 0.904 -2.348 6.936 3.069" Properties=species:S:1:pos:R:3 pbc="T T T"
W -2.345 6.927 3.065
Si -1.137 4.768 3.760
Mn 0.037 1.300 2.225
W -1.177 3.476 1.538
```

M_tot = 1.49 μB per formula unit
space group = Cmmm
E_form (uncorrected) = 0.11 eV per atom
DOS(E_F) = 0.576 states/eV/atom